A plane-wave DFT calculation with PBE-GGA was carried out for an optimized crystal structure of Th2MgIn2.

a = 4.641 Å, b = 6.213 Å, c = 6.213 Å
α = 61.42°, β = 68.07°, γ = 68.07°
Sites, in units of the cell vectors:
Th 0.796 0.704 0.704
Th 0.204 0.296 0.296
In 0.500 0.729 0.271
In 0.500 0.271 0.729
Mg 0.000 0.000 0.000

Results
Formation energy from the elements = -0.190 eV/atom



A plane-wave DFT calculation with PBE-GGA was carried out for an optimized crystal structure of Th3Mg2In3.

a = 6.171 Å, b = 9.143 Å, c = 9.143 Å
α = 120.00°, β = 90.00°, γ = 90.00°
Sites, in units of the cell vectors:
Th 0.250 0.248 0.248
Th 0.250 0.000 0.752
Th 0.750 0.752 0.752
Mg 0.500 0.333 0.667
Mg 0.000 0.333 0.667
Th 0.750 0.000 0.248
In 0.750 0.600 0.000
In 0.750 0.400 0.400
In 0.250 0.000 0.400
In 0.250 0.600 0.600
In 0.250 0.400 0.000
Th 0.750 0.248 0.000
In 0.750 0.000 0.600
Mg 0.000 0.667 0.333
Mg 0.500 0.667 0.333
Th 0.250 0.752 0.000

Results
Formation energy from the elements = -0.162 eV/atom



A plane-wave DFT calculation with PBE-GGA was carried out for an optimized crystal structure of ThMg2In.

a = 3.534 Å, b = 3.534 Å, c = 8.248 Å
α = 90.00°, β = 90.00°, γ = 90.00°
Sites, in units of the cell vectors:
Mg 0.000 0.000 0.784
In 0.500 0.500 0.000
Th 0.500 0.500 0.500
Mg 0.000 0.000 0.216

Results
Formation energy from the elements = -0.034 eV/atom
ΔE to the lowest computed polymorph = 0.46 eV/f.u.



A plane-wave DFT calculation with PBE-GGA was carried out for an optimized crystal structure of ThMg3In2.

a = 4.781 Å, b = 9.595 Å, c = 9.024 Å
α = 48.88°, β = 74.64°, γ = 75.57°
Sites, in units of the cell vectors:
Mg 0.071 0.306 0.553
Mg 0.376 0.503 0.745
In 0.523 0.163 0.791
In 0.238 0.339 0.184
Mg 0.700 0.077 0.524
Mg 0.624 0.497 0.255
Mg 0.929 0.694 0.447
In 0.762 0.661 0.816
Th 0.885 0.180 0.050
Mg 0.300 0.923 0.476
Th 0.115 0.820 0.950
In 0.477 0.837 0.209

Results
Formation energy from the elements = -0.152 eV/atom



A plane-wave DFT calculation with PBE-GGA was carried out for an optimized crystal structure of ThMg2In2.

a = 4.861 Å, b = 4.861 Å, c = 6.711 Å
α = 72.62°, β = 72.62°, γ = 61.44°
Sites, in units of the cell vectors:
In 0.405 0.905 0.745
Mg 0.784 0.284 0.620
In 0.595 0.095 0.255
Mg 0.216 0.716 0.380
Th 0.000 0.500 0.000

Results
Formation energy from the elements = -0.151 eV/atom
ΔE to the lowest computed polymorph = 0.00 eV/f.u.



A plane-wave DFT calculation with PBE-GGA was carried out for an optimized crystal structure of Th2MgIn9.

a = 4.708 Å, b = 4.708 Å, c = 14.113 Å
α = 90.00°, β = 90.00°, γ = 90.00°
Sites, in units of the cell vectors:
In 0.500 0.500 0.332
Th 0.000 0.000 0.667
In 0.000 0.500 0.500
Th 0.000 0.000 0.333
In 0.500 0.000 0.500
In 0.500 0.500 0.668
In 0.500 0.000 0.157
In 0.500 0.000 0.843
In 0.500 0.500 0.000
In 0.000 0.500 0.843
Mg 0.000 0.000 0.000
In 0.000 0.500 0.157

Results
Formation energy from the elements = -0.221 eV/atom



A plane-wave DFT calculation with PBE-GGA was carried out for an optimized crystal structure of Th2MgIn3.

a = 6.234 Å, b = 6.234 Å, c = 10.064 Å
α = 113.93°, β = 113.93°, γ = 71.97°
Sites, in units of the cell vectors:
Th 0.250 0.750 0.500
In 0.339 0.339 0.168
Mg 0.667 0.667 0.333
Th 0.755 0.245 0.000
In 0.831 0.831 0.662
Th 0.750 0.250 0.500
In 0.830 0.830 0.168
Mg 0.333 0.333 0.667
Th 0.245 0.755 0.000
In 0.170 0.170 0.832
In 0.169 0.169 0.338
In 0.661 0.661 0.832

Results
Formation energy from the elements = -0.273 eV/atom



A plane-wave DFT calculation with PBE-GGA was carried out for an optimized crystal structure of ThMg2In.

a = 5.155 Å, b = 3.322 Å, c = 6.203 Å
α = 95.38°, β = 90.00°, γ = 90.00°
Sites, in units of the cell vectors:
Th 0.500 0.500 0.000
Mg 0.000 0.917 0.750
In 0.500 0.000 0.500
Mg 0.000 0.083 0.250

Results
Formation energy from the elements = -0.057 eV/atom
ΔE to the lowest computed polymorph = 0.36 eV/f.u.



A plane-wave DFT calculation with PBE-GGA was carried out for an optimized crystal structure of ThMg2In.

a = 4.824 Å, b = 4.666 Å, c = 4.666 Å
α = 90.00°, β = 90.00°, γ = 90.00°
Sites, in units of the cell vectors:
Mg 0.000 0.000 0.500
Th 0.500 0.500 0.500
In 0.500 0.000 0.000
Mg 0.000 0.500 0.000

Results
Formation energy from the elements = -0.148 eV/atom
ΔE to the lowest computed polymorph = 0.00 eV/f.u.



A plane-wave DFT calculation with PBE-GGA was carried out for an optimized crystal structure of ThMgTlIn.

a = 4.606 Å, b = 4.834 Å, c = 4.806 Å
α = 90.00°, β = 90.00°, γ = 90.00°
Sites, in units of the cell vectors:
In 0.000 0.500 0.500
Th 0.500 0.500 0.000
Tl 0.000 0.000 0.000
Mg 0.500 0.000 0.500

Results
Formation energy from the elements = -0.215 eV/atom
ΔE to the lowest computed polymorph = 0.00 eV/f.u.



A plane-wave DFT calculation with PBE-GGA was carried out for an optimized crystal structure of ThMgTlIn.

a = 5.327 Å, b = 5.327 Å, c = 5.327 Å
α = 60.00°, β = 60.00°, γ = 60.00°
Sites, in units of the cell vectors:
Th 0.250 0.250 0.250
Mg 0.750 0.750 0.750
In 0.500 0.500 0.500
Tl 0.000 0.000 0.000

Results
Formation energy from the elements = -0.109 eV/atom
ΔE to the lowest computed polymorph = 0.42 eV/f.u.



A plane-wave DFT calculation with PBE-GGA was carried out for an optimized crystal structure of Tm2ThMg2In2.

a = 5.032 Å, b = 5.032 Å, c = 9.075 Å
α = 73.91°, β = 73.91°, γ = 60.00°
Sites, in units of the cell vectors:
Mg 0.591 0.591 0.226
Th 0.000 0.000 0.000
Tm 0.869 0.869 0.393
Tm 0.131 0.131 0.607
Mg 0.409 0.409 0.774
In 0.261 0.261 0.217
In 0.739 0.739 0.783

Results
Formation energy from the elements = -0.154 eV/atom



A plane-wave DFT calculation with PBE-GGA was carried out for an optimized crystal structure of ThMgZn2In.

a = 4.346 Å, b = 4.346 Å, c = 6.524 Å
α = 109.46°, β = 109.46°, γ = 90.00°
Sites, in units of the cell vectors:
Zn 0.396 0.396 0.791
Mg 0.250 0.750 0.500
In 0.750 0.250 0.500
Zn 0.604 0.604 0.209
Th 0.000 0.000 0.000

Results
Formation energy from the elements = -0.269 eV/atom



A plane-wave DFT calculation with PBE-GGA was carried out for an optimized crystal structure of ThMgZnIn.

a = 5.147 Å, b = 5.147 Å, c = 5.147 Å
α = 60.00°, β = 60.00°, γ = 60.00°
Sites, in units of the cell vectors:
Th 0.500 0.500 0.500
Zn 0.250 0.250 0.250
In 0.750 0.750 0.750
Mg 0.000 0.000 0.000

Results
Formation energy from the elements = -0.147 eV/atom



A plane-wave DFT calculation with PBE-GGA was carried out for an optimized crystal structure of ThMg2ZnIn2.

a = 5.474 Å, b = 5.474 Å, c = 6.921 Å
α = 113.29°, β = 113.29°, γ = 90.00°
Sites, in units of the cell vectors:
In 0.783 0.783 0.565
Mg 0.250 0.750 0.500
Zn 0.000 0.000 0.000
Th 0.500 0.500 0.000
Mg 0.750 0.250 0.500
In 0.217 0.217 0.435

Results
Formation energy from the elements = 0.402 eV/atom



A plane-wave DFT calculation with PBE-GGA was carried out for an optimized crystal structure of ThMgZrIn.

a = 5.253 Å, b = 5.253 Å, c = 5.253 Å
α = 60.00°, β = 60.00°, γ = 60.00°
Sites, in units of the cell vectors:
Mg 0.500 0.500 0.500
Th 0.250 0.250 0.250
In 0.000 0.000 0.000
Zr 0.750 0.750 0.750

Results
Formation energy from the elements = -0.013 eV/atom



A plane-wave DFT calculation with PBE-GGA was carried out for an optimized crystal structure of Mg4Ti9In11.

a = 3.051 Å, b = 12.572 Å, c = 12.572 Å
α = 91.01°, β = 90.00°, γ = 90.00°
Sites, in units of the cell vectors:
In 0.000 0.925 0.589
Mg 0.500 0.721 0.559
Ti 0.500 0.795 0.977
Ti 0.500 0.205 0.023
Ti 0.500 0.500 0.500
Ti 0.500 0.128 0.620
In 0.000 0.411 0.075
Mg 0.500 0.279 0.441
In 0.000 0.589 0.925
In 0.000 0.000 0.000
In 0.000 0.821 0.179
Ti 0.500 0.380 0.872
In 0.000 0.224 0.224
Ti 0.500 0.620 0.128
In 0.000 0.352 0.648
Ti 0.500 0.977 0.795
Ti 0.500 0.872 0.380
In 0.000 0.075 0.411
In 0.000 0.776 0.776
Ti 0.500 0.023 0.205
Mg 0.500 0.559 0.721
In 0.000 0.648 0.352
In 0.000 0.179 0.821
Mg 0.500 0.441 0.279

Results
Formation energy from the elements = -0.034 eV/atom



A plane-wave DFT calculation with PBE-GGA was carried out for an optimized crystal structure of MgTi2In3.

a = 3.059 Å, b = 3.059 Å, c = 13.009 Å
α = 90.00°, β = 90.00°, γ = 90.00°
Sites, in units of the cell vectors:
In 0.000 0.000 0.321
In 0.000 0.000 0.000
In 0.000 0.000 0.679
Ti 0.500 0.500 0.842
Mg 0.500 0.500 0.500
Ti 0.500 0.500 0.158

Results
Formation energy from the elements = -0.090 eV/atom



A plane-wave DFT calculation with PBE-GGA was carried out for an optimized crystal structure of MgTi3In.

a = 4.781 Å, b = 4.781 Å, c = 4.781 Å
α = 90.00°, β = 90.00°, γ = 90.00°
Sites, in units of the cell vectors:
In 0.500 0.500 0.500
Ti 0.000 0.500 0.000
Mg 0.000 0.000 0.000
Ti 0.500 0.000 0.000
Ti 0.000 0.000 0.500

Results
Formation energy from the elements = 1.017 eV/atom
ΔE to the lowest computed polymorph = 0.00 eV/f.u.



A plane-wave DFT calculation with PBE-GGA was carried out for an optimized crystal structure of Mg2TiIn2.

a = 4.113 Å, b = 4.113 Å, c = 7.285 Å
α = 73.60°, β = 73.60°, γ = 90.00°
Sites, in units of the cell vectors:
Mg 0.250 0.750 0.500
Ti 0.000 0.000 0.000
Mg 0.750 0.250 0.500
In 0.400 0.400 0.200
In 0.600 0.600 0.800

Results
Formation energy from the elements = 0.250 eV/atom
ΔE to the lowest computed polymorph = 0.56 eV/f.u.